1.
DFT (GGA-PBEsol) results for crystalline Sr2MnClO3 at its relaxed geometry.

a b c (Å): 3.862 3.862 14.388
angles (deg): 90.00 90.00 90.00
Positions (direct):
Mn1 0.500 0.000 0.210
Mn2 0.000 0.500 0.790
Sr1 0.000 0.500 0.094
Sr2 0.500 0.000 0.657
Sr3 0.000 0.500 0.343
Sr4 0.500 0.000 0.906
O1 0.500 0.000 0.075
O2 0.000 0.000 0.229
O3 0.500 0.500 0.771
O4 0.500 0.500 0.229
O5 0.000 0.500 0.925
O6 0.000 0.000 0.771
Cl1 0.500 0.000 0.425
Cl2 0.000 0.500 0.575

Results
formation energy without anion corrections = -2.42 eV/atom

---

2.
DFT (GGA-PBEsol) results for crystalline Mn2OsSeCl at its relaxed geometry.

a b c (Å): 4.262 4.262 4.424
angles (deg): 90.00 90.00 90.00
Positions (direct):
Os1 0.000 0.000 0.500
Se1 0.500 0.500 0.500
Mn1 0.000 0.500 0.000
Mn2 0.500 0.000 0.000
Cl1 0.000 0.000 0.000

Results
formation energy without anion corrections = 1.15 eV/atom

---

3.
DFT (GGA-PBEsol) results for crystalline MnP2Cl at its relaxed geometry.

a b c (Å): 3.528 4.388 4.872
angles (deg): 90.00 110.67 90.00
Positions (direct):
P1 0.828 0.000 0.654
P2 0.172 0.000 0.346
Cl1 0.500 0.500 0.000
Mn1 0.500 0.500 0.500

Results
energy above the most stable polymorph in this dataset = 173 meV/atom
formation energy without anion corrections = -0.07 eV/atom

---

4.
DFT (GGA-PBEsol) results for crystalline MnPCl2 at its relaxed geometry.

a b c (Å): 3.030 3.030 9.067
angles (deg): 90.00 90.00 102.02
Positions (direct):
Cl1 0.000 0.000 0.328
Cl2 0.000 0.000 0.672
P1 0.500 0.500 0.000
Mn1 0.500 0.500 0.500

Results
energy above the most stable polymorph in this dataset = 0 meV/atom
formation energy without anion corrections = 0.16 eV/atom

---

5.
DFT (GGA-PBEsol) results for crystalline Mn2PCl at its relaxed geometry.

a b c (Å): 4.374 2.944 4.423
angles (deg): 90.00 90.00 90.00
Positions (direct):
P1 0.500 0.500 0.000
Mn1 0.000 0.000 0.000
Mn2 0.500 0.000 0.500
Cl1 0.000 0.500 0.500

Results
energy above the most stable polymorph in this dataset = 0 meV/atom
formation energy without anion corrections = 0.16 eV/atom

---

6.
DFT (GGA-PBEsol) results for crystalline MnPCl2 at its relaxed geometry.

a b c (Å): 4.546 4.550 4.546
angles (deg): 60.03 90.00 119.97
Positions (direct):
Cl1 0.750 0.500 0.750
Cl2 0.250 0.500 0.250
Mn1 0.500 0.000 0.500
P1 0.000 0.000 0.000

Results
energy above the most stable polymorph in this dataset = 283 meV/atom
formation energy without anion corrections = 0.44 eV/atom

---

7.
DFT (GGA-PBEsol) results for crystalline Mn2PCl at its relaxed geometry.

a b c (Å): 3.182 4.824 4.824
angles (deg): 74.17 70.75 70.75
Positions (direct):
P1 0.000 0.500 0.500
Mn1 0.272 0.728 0.728
Mn2 0.728 0.272 0.272
Cl1 0.500 0.000 0.000

Results
energy above the most stable polymorph in this dataset = 39 meV/atom
formation energy without anion corrections = 0.20 eV/atom

---

8.
DFT (GGA-PBEsol) results for crystalline MnP2Cl at its relaxed geometry.

a b c (Å): 3.101 4.172 6.871
angles (deg): 70.00 76.96 68.18
Positions (direct):
Cl1 0.582 0.422 0.414
P1 0.775 0.583 0.867
P2 0.936 0.059 0.069
Mn1 0.207 0.436 0.150

Results
energy above the most stable polymorph in this dataset = 0 meV/atom
formation energy without anion corrections = -0.25 eV/atom

---

Question: The highest formation energy without anion corrections belongs to which entry?
Answer: Mn2OsSeCl

---

Question: formation energy without anion corrections of number 7 (Mn2PCl)?
Answer: 0.20 eV/atom